1.
BaRe2Si | Alexandria via LeMat-Bulk | PBE-GGA | relaxed; E_form (uncorrected) = 1.298 eV per atom; energy = -6.762 eV per atom
1.0
6.769 0.000 0.000
0.000 6.769 0.000
0.000 0.000 6.769
Ba Re Si
4 8 4
Cartesian
0.000 0.000 0.000 Ba
0.000 3.385 3.385 Ba
3.385 0.000 3.385 Ba
3.385 3.385 0.000 Ba
0.000 0.000 3.385 Re
0.000 3.385 0.000 Re
1.692 1.692 1.692 Re
1.692 5.077 5.077 Re
3.385 0.000 0.000 Re
3.385 3.385 3.385 Re
5.077 1.692 5.077 Re
5.077 5.077 1.692 Re
1.692 1.692 5.077 Si
1.692 5.077 1.692 Si
5.077 1.692 1.692 Si
5.077 5.077 5.077 Si

=====

2.
LaPr2Sm3Y6 | Alexandria via LeMat-Bulk | PBE-GGA | relaxed; energy = -5.608 eV per atom; energy of formation from the pure elements = 0.011 eV/atom
1.0
3.148 -5.452 0.000
3.148 5.452 0.000
-2.091 0.000 11.720
La Pr Sm Y
1 2 3 6
Cartesian
0.000 0.000 0.000 La
3.148 1.816 0.000 Pr
3.148 -1.816 0.000 Pr
2.103 3.632 5.860 Sm
2.103 0.000 5.860 Sm
2.103 -3.632 5.860 Sm
1.053 1.820 2.958 Y
0.009 0.000 8.759 Y
1.053 -1.820 2.958 Y
3.152 1.820 8.762 Y
4.196 0.000 2.961 Y
3.152 -1.820 8.762 Y

=====

3.
Ca6Zn5Pd | Alexandria via LeMat-Bulk | PBE-GGA | relaxed; energy = -2.265 eV per atom; energy of formation from the pure elements = -0.301 eV/atom
1.0
5.198 0.000 0.000
0.000 7.227 0.000
-2.611 0.000 7.789
Ca Zn Pd
6 5 1
Cartesian
0.000 1.760 0.000 Ca
0.000 5.467 0.000 Ca
-0.005 1.788 5.241 Ca
-0.005 5.438 5.241 Ca
2.592 1.788 2.548 Ca
2.592 5.438 2.548 Ca
-0.011 3.613 2.602 Zn
-0.013 0.000 2.650 Zn
2.599 3.613 0.000 Zn
2.599 0.000 5.139 Zn
2.598 3.613 5.187 Zn
2.599 0.000 0.000 Pd

=====

4.
RbNbSb2I | Alexandria via LeMat-Bulk | PBE-GGA | relaxed; E_form (uncorrected) = -0.188 eV per atom; energy = -4.354 eV per atom; excess energy over the best structure of this formula in the dataset = 0.00 eV/f.u.
1.0
5.367 0.000 0.000
0.000 5.367 0.000
0.000 0.000 6.220
Rb Nb Sb I
1 1 2 1
Cartesian
0.000 0.000 0.000 Rb
2.684 2.684 3.110 Nb
0.000 2.684 3.110 Sb
2.684 0.000 3.110 Sb
2.684 2.684 0.000 I

=====

5.
Li2GeBS4 | Alexandria via LeMat-Bulk | PBE-GGA | relaxed; E_form (uncorrected) = -0.654 eV per atom; energy = -4.608 eV per atom
1.0
5.529 0.000 0.000
0.000 5.529 0.000
0.000 0.000 9.824
Li Ge B S
4 2 2 8
Cartesian
0.000 0.000 0.000 Li
0.000 2.764 2.456 Li
2.764 0.000 7.368 Li
2.764 2.764 4.912 Li
0.000 0.000 4.912 Ge
2.764 2.764 0.000 Ge
0.000 2.764 7.368 B
2.764 0.000 2.456 B
1.118 1.588 8.435 S
1.177 3.882 6.302 S
1.588 4.411 1.389 S
1.646 1.177 3.523 S
3.882 4.352 3.523 S
3.941 1.118 1.389 S
4.352 1.646 6.302 S
4.411 3.941 8.435 S

=====

6.
OsC2 | Alexandria via LeMat-Bulk | PBE-GGA | relaxed; energy = -7.974 eV per atom; excess energy over the best structure of this formula in the dataset = 4.06 eV/f.u.; energy of formation from the pure elements = 1.918 eV/atom
1.0
4.968 0.000 0.000
0.000 4.968 0.000
0.000 0.000 4.968
Os C
4 8
Cartesian
0.000 0.000 0.000 Os
0.000 2.484 2.484 Os
2.484 0.000 2.484 Os
2.484 2.484 0.000 Os
1.242 1.242 1.242 C
1.242 1.242 3.726 C
1.242 3.726 1.242 C
1.242 3.726 3.726 C
3.726 1.242 1.242 C
3.726 1.242 3.726 C
3.726 3.726 1.242 C
3.726 3.726 3.726 C

=====

7.
MnBeCo | Alexandria via LeMat-Bulk | PBE-GGA | relaxed; energy = -4.936 eV per atom; excess energy over the best structure of this formula in the dataset = 5.67 eV/f.u.; energy of formation from the pure elements = 1.731 eV/atom
1.0
3.639 0.000 0.000
-1.819 3.151 0.000
0.000 0.000 8.966
Mn Be Co
2 2 2
Cartesian
0.000 0.000 2.242 Mn
0.000 0.000 6.725 Mn
0.000 2.101 2.242 Be
1.819 1.050 6.725 Be
0.000 0.000 0.000 Co
0.000 0.000 4.483 Co

=====

8.
LaTb3Mg6 | Alexandria via LeMat-Bulk | PBE-GGA | relaxed; energy = -2.911 eV per atom; energy of formation from the pure elements = -0.072 eV/atom
1.0
9.348 0.000 0.000
0.000 5.338 0.000
-3.168 0.000 10.940
La Tb Mg
2 6 12
Cartesian
-0.749 1.335 4.317 La
6.929 4.004 6.623 La
2.322 1.335 0.002 Tb
0.765 4.004 8.724 Tb
2.347 1.335 6.635 Tb
3.833 4.004 4.305 Tb
5.415 1.335 2.216 Tb
3.858 4.004 10.937 Tb
-2.388 4.004 9.910 Mg
0.774 4.004 2.138 Mg
-0.843 1.335 7.741 Mg
0.816 4.004 5.401 Mg
2.308 1.335 3.230 Mg
3.845 4.004 1.079 Mg
2.335 1.335 9.860 Mg
3.872 4.004 7.710 Mg
5.364 1.335 5.539 Mg
7.022 4.004 3.199 Mg
5.406 1.335 8.801 Mg
8.568 1.335 1.030 Mg